No. 1
TaBeNi PBE relaxed; excess energy over the best structure of this formula in the dataset = 1052.8 meV per atom; total magnetization = 0.00 μB/cell; space group = F-43m (216)
1.0
4.0236 0.0000 0.0000
2.0118 3.4845 0.0000
2.0118 1.1615 3.2852
Ta Be Ni
1 1 1
direct
0.7500 0.7500 0.7500
0.0000 0.0000 0.0000
0.5000 0.5000 0.5000


No. 2
TaBe2Ni2 PBE relaxed; excess energy over the best structure of this formula in the dataset = 108.7 meV per atom; total magnetization = 0.14 μB/cell; space group = P4/mbm (127)
1.0
-0.1261 -6.6158 -0.0820
1.4554 0.0522 -6.4553
2.5101 -0.0549 0.5655
Be Ni Ta
4 4 2
direct
0.3373 0.1627 0.5000
0.6627 0.8373 0.5000
0.8373 0.3373 0.5000
0.1627 0.6627 0.5000
0.8687 0.6313 0.0000
0.6313 0.1313 0.0000
0.3687 0.8687 0.0000
0.1313 0.3687 0.0000
0.5000 0.5000 0.0000
0.0000 0.0000 0.0000


No. 3
Ta4BeNi PBE relaxed; excess energy over the best structure of this formula in the dataset = 0.0 meV per atom; total magnetization = 0.00 μB/cell; space group = P4/mcc (124)
1.0
-4.4314 2.0035 0.5749
-2.4223 -5.5792 0.7719
0.9708 0.4141 6.0396
Be Ta Ni
2 8 2
direct
0.2500 0.5000 0.5000
0.7500 0.5000 0.5000
0.0000 0.1650 0.6541
0.5000 0.8350 0.6541
0.5000 0.3459 0.8350
0.0000 0.3459 0.1650
0.0000 0.8350 0.3459
0.5000 0.1650 0.3459
0.5000 0.6541 0.1650
0.0000 0.6541 0.8350
0.7500 0.0000 0.0000
0.2500 0.0000 0.0000


no.,energy of formation (eV/atom)
1,0.700
2,-0.153
3,-0.188